[1]
The following is a PBE-GGA calculation of a geometry-optimized ReSiB2 structure, from the Alexandria database.

Unit cell a=5.719 b=5.719 c=5.719 alpha=130.00 beta=130.00 gamma=73.41
Sites, in units of the cell vectors:
Re 0.000 0.000 0.000
Re 0.750 0.250 0.500
Si 0.250 0.750 0.500
Si 0.500 0.500 0.000
B 0.126 0.625 0.001
B 0.375 0.376 0.501
B 0.624 0.125 0.999
B 0.875 0.874 0.499

Output
For the total energy, the calculation gives -7.161 eV per atom. Its space group is I-42d, No. 122. The density of states at the Fermi level comes out at 3.393 states/eV per cell.

***

[2]
The following is a PBE-GGA calculation of a geometry-optimized Co2TeW structure, from the Alexandria database.

Unit cell a=2.891 b=4.240 c=4.713 alpha=90.00 beta=90.00 gamma=90.00
Sites, in units of the cell vectors:
Co 0.000 0.000 0.000
Co 0.000 0.500 0.317
Te 0.500 0.500 0.875
W 0.500 0.000 0.477

Output
For the total energy, the calculation gives -7.142 eV per atom. Its space group is Pmm2, No. 25. The density of states at the Fermi level comes out at 3.269 states/eV per cell.

***

[3]
The following is a PBE-GGA calculation of a geometry-optimized Ca2Tl structure, from the Alexandria database.

Unit cell a=5.404 b=5.404 c=5.404 alpha=60.00 beta=60.00 gamma=60.00
Sites, in units of the cell vectors:
Ca 0.250 0.250 0.250
Ca 0.750 0.750 0.750
Tl 0.000 0.000 0.000

Output
Its formation energy is -20.6 kJ per mole of atoms. Its space group is Fm-3m, No. 225. The density of states at the Fermi level comes out at 3.513 states/eV per cell.